Mg3Te2Pb6WO18, relaxed, DFT GGA+U; E = -5.904 eV/atom; volume = 13.19 A^3/atom
1.0
-0.169 5.705 -0.293
-3.326 -2.769 3.732
10.131 0.793 9.619
O Pb W Mg Te
18 6 1 3 2
direct
0.655 0.827 0.586
0.839 0.678 0.919
0.173 0.827 0.586
0.493 0.987 0.747
0.827 0.655 0.414
0.827 0.173 0.414
0.507 0.013 0.253
0.678 0.839 0.081
0.507 0.493 0.253
0.839 0.161 0.919
0.161 0.839 0.081
0.013 0.507 0.747
0.345 0.173 0.414
0.322 0.161 0.919
0.987 0.493 0.253
0.161 0.322 0.081
0.493 0.507 0.747
0.173 0.345 0.586
0.667 0.333 0.584
0.333 0.667 0.416
0.667 0.333 0.085
0.000 0.000 0.750
0.333 0.667 0.915
0.000 0.000 0.250
0.000 0.000 0.000
0.333 0.667 0.165
0.000 0.000 0.500
0.667 0.333 0.835
0.667 0.333 0.334
0.333 0.667 0.666